Record 1
DFT (GGA-PBE) results for crystalline CsCdH2 at its relaxed geometry.

Computed properties:
E_tot	-2.165	eV/atom
crystal system	orthorhombic
E above lowest polymorph	60	meV per atom

Cell: 14.8887 3.8905 7.1944 Å, 90.00 90.00 90.00°
With the nearest neighbours (Å) after each atom.
Fractional positions:
Cs 0.1427 0.2500 0.1154  5 H 2.96-3.08
Cs 0.3573 0.7500 0.6154  5 H 2.96-3.08
Cs 0.6427 0.2500 0.3846  5 H 2.96-3.08
Cs 0.8573 0.7500 0.8846  5 H 2.96-3.08
Cd 0.0701 0.7500 0.5764  2 H 1.84-1.85
Cd 0.4299 0.2500 0.0764  2 H 1.84-1.85
Cd 0.5701 0.7500 0.9236  2 H 1.84-1.85
Cd 0.9299 0.2500 0.4236  2 H 1.84-1.85
H 0.0840 0.7500 0.8301  1 Cd 1.84
H 0.1758 0.7500 0.4409  1 Cd 1.85
H 0.3242 0.2500 0.9409  1 Cd 1.85
H 0.4160 0.2500 0.3301  1 Cd 1.84
H 0.5840 0.7500 0.6699  1 Cd 1.84
H 0.6758 0.7500 0.0591  1 Cd 1.85
H 0.8242 0.2500 0.5591  1 Cd 1.85
H 0.9160 0.2500 0.1699  1 Cd 1.84


Record 2
DFT (GGA-PBE) results for crystalline CsCdH2 at its relaxed geometry.

Computed properties:
E_tot	-2.055	eV/atom
crystal system	triclinic
E above lowest polymorph	170	meV per atom

Cell: 5.2677 5.6694 5.8935 Å, 66.08 63.55 62.42°
With the nearest neighbours (Å) after each atom.
Fractional positions:
Cs 0.0000 0.0000 0.0000  6 H 3.20-3.33
Cd 0.5060 0.5079 0.4818  1 H 2.70
H 0.2572 0.3270 0.1626  1 H 0.78
H 0.3157 0.3600 0.0107  1 H 0.78


Among the records above, which one has the highest E above lowest polymorph? number 2


Repeat the second record exactly.
DFT (GGA-PBE) results for crystalline CsCdH2 at its relaxed geometry.

Computed properties:
E_tot	-2.055	eV/atom
crystal system	triclinic
E above lowest polymorph	170	meV per atom

Cell: 5.2677 5.6694 5.8935 Å, 66.08 63.55 62.42°
With the nearest neighbours (Å) after each atom.
Fractional positions:
Cs 0.0000 0.0000 0.0000  6 H 3.20-3.33
Cd 0.5060 0.5079 0.4818  1 H 2.70
H 0.2572 0.3270 0.1626  1 H 0.78
H 0.3157 0.3600 0.0107  1 H 0.78


Look up the E above lowest polymorph of the first one. 60 meV per atom